Computed, not measured: Nb2TcW2 after structural relaxation at the PBE level of DFT.

Properties
Energy relative to the lowest polymorph listed for this composition = 1003 meV per atom

Cell: 7.992 7.992 7.992 Å, 154.73 154.73 36.04°
Fractional coordinates of all 5 atoms:
Nb  0.095  0.095  0.000
Nb  0.905  0.905  0.000
Tc  0.500  0.500  0.000
W  0.250  0.750  0.500
W  0.750  0.250  0.500

***

Computed, not measured: Nb4Tc2W after structural relaxation at the PBE level of DFT.

Cell: 5.493 5.493 5.493 Å, 109.36 109.36 109.70°
Fractional coordinates of all 7 atoms:
Nb  0.000  0.000  0.500
Nb  0.000  0.500  0.000
Nb  0.500  0.000  0.000
Nb  0.500  0.500  0.500
Tc  0.000  0.500  0.500
Tc  0.500  0.000  0.500
W  0.000  0.000  0.000

***

Computed, not measured: Nb2Tc3W after structural relaxation at the PBE level of DFT.

Properties
Energy relative to the lowest polymorph listed for this composition = 0 meV per atom

Cell: 7.107 7.107 3.164 Å, 90.00 90.00 143.17°
Fractional coordinates of all 6 atoms:
Nb  0.166  0.834  0.000
Nb  0.834  0.166  0.000
Tc  0.000  0.000  0.500
Tc  0.335  0.665  0.500
Tc  0.665  0.335  0.500
W  0.500  0.500  0.000

***

Number 1: formation energy from the elements 0.819 eV per atom, DOS(E_F) 6.03 states/eV/cell. Number 2: formation energy from the elements 0.093 eV per atom, DOS(E_F) 5.17 states/eV/cell. Number 3: formation energy from the elements -0.213 eV per atom, DOS(E_F) 3.12 states/eV/cell.